1.
First-principles (PBE-GGA) data for crystalline KMg2NiS at its relaxed geometry, as listed in Alexandria via LeMat-Bulk.

a = 5.7380 Å, b = 5.7380 Å, c = 4.4311 Å
α = 90.00°, β = 90.00°, γ = 90.00°
Closest atoms and distances in Å follow each position.
Space group P4/mmm (No. 123)
Asymmetric unit:
K: 0.0000 0.0000 0.0000 [1 per cell]  2 Ni 2.22
Mg: 0.0000 0.5000 0.0000 [2 per cell]  2 K 2.87
Ni: 0.0000 0.0000 0.5000 [1 per cell]  2 K 2.22
S: 0.5000 0.5000 0.5000 [1 per cell]  8 Mg 3.62, 4 Ni 4.06

The energy relative to the elements, uncorrected is 1429 meV/atom.



2.
First-principles (PBE-GGA) data for crystalline AcMnNbP2 at its relaxed geometry, as listed in Alexandria via LeMat-Bulk.

a = 3.9475 Å, b = 3.9475 Å, c = 12.7456 Å
α = 90.00°, β = 90.00°, γ = 90.00°
Closest atoms and distances in Å follow each position.
Space group I-4m2 (No. 119)
Asymmetric unit:
Ac: 0.0000 0.0000 0.0000 [2 per cell]  8 P 3.26
Mn: 0.0000 0.5000 0.2500 [2 per cell]  4 P 2.48
Nb: 0.0000 0.5000 0.7500 [2 per cell]  4 P 2.48
P: 0.0000 0.0000 0.3676 [4 per cell]  2 Nb 2.48, 2 Mn 2.48

The energy of formation comes out at -0.855 eV per atom.